# Dy6BiOs2

Dy6BiOs2 after structural relaxation (PBE, Alexandria).

Cell and atoms, written as POSCAR:
```
Dy6BiOs2
1.0
-4.772 4.876 5.194
4.772 -4.876 5.194
4.772 4.876 -5.194
Dy Bi Os
12 2 4
Direct
0.024 0.241 0.783
0.183 0.281 0.464
0.183 0.719 0.902
0.331 0.017 0.685
0.331 0.646 0.315
0.458 0.241 0.217
0.542 0.759 0.783
0.669 0.354 0.685
0.669 0.983 0.315
0.817 0.281 0.098
0.817 0.719 0.536
0.976 0.759 0.217
0.000 0.000 0.000
0.500 0.500 0.000
0.121 0.621 0.500
0.335 0.000 0.335
0.665 0.000 0.665
0.879 0.379 0.500
```

Formation energy from the elements: -0.365 eV per atom

***

# Tb2Nd6Dy3Tl

Tb2Nd6Dy3Tl after structural relaxation (PBE, Alexandria).

Cell and atoms, written as POSCAR:
```
Tb2Nd6Dy3Tl
1.0
3.109 -5.396 0.000
3.109 5.396 0.000
-2.091 0.000 11.658
Tb Nd Dy Tl
2 6 3 1
Direct
0.167 0.833 0.000
0.833 0.167 0.000
0.089 0.417 0.751
0.256 0.256 0.250
0.417 0.089 0.751
0.583 0.911 0.249
0.744 0.744 0.750
0.911 0.583 0.249
0.000 0.000 0.500
0.332 0.668 0.500
0.668 0.332 0.500
0.500 0.500 0.000
```

Formation energy from the elements: -0.014 eV per atom

***

# VTcMo2

VTcMo2 after structural relaxation (PBE, Alexandria).

Cell and atoms, written as POSCAR:
```
VTcMo2
1.0
0.000 3.101 3.101
3.101 0.000 3.101
3.101 3.101 0.000
V Tc Mo
1 1 2
Direct
0.000 0.000 0.000
0.500 0.500 0.500
0.250 0.250 0.250
0.750 0.750 0.750
```

Energy above the most stable polymorph in this dataset: 2.3 kJ/mol of formula units
Formation energy from the elements: -0.090 eV per atom

***

# DyEr4Sn2

DyEr4Sn2 after structural relaxation (PBE, Alexandria).

Cell and atoms, written as POSCAR:
```
DyEr4Sn2
1.0
-2.643 2.643 8.144
2.643 -2.643 8.144
2.643 2.643 -8.144
Dy Er Sn
1 4 2
Direct
0.000 0.000 0.000
0.000 0.500 0.500
0.185 0.185 0.000
0.500 0.000 0.500
0.815 0.815 0.000
0.371 0.371 0.000
0.629 0.629 0.000
```

Formation energy from the elements: 0.426 eV per atom

***

The records above yield DOS(E_F) values of 8.2; 13.5; 3.0; 8.3 states/eV/f.u., respectively.
The records above yield magnetic moment values of 0.000; 0.000; 0.000; 0.000 μB per formula unit, respectively.
The records above yield uncorrected energy values of -57.23; -54.21; -41.51; -27.88 eV per formula unit, respectively.